Entry 1:
This record from the Alexandria database describes an optimized crystal structure of Tb2Pm3SmTm6. The functional is PBE-GGA.

* energy relative to the elements: 21 kJ/mol of formula units
* spin magnetization: 0.0000 μB/atom
* space group: C2/m, No. 12
* final energy: -0.3359 Ry per atom
* calculated volume: 378.2 Å³ per cell

Cell lengths 6.1627, 6.1627, 11.6780 Å; angles 95.03, 95.03, 119.98 degrees
With the nearest neighbours (Å) after each atom.
Sites, in units of the cell vectors:
Tm  0.2504  0.2504  0.7516  1 Sm 3.52, 2 Tb 3.52, 3 Pm 3.55, 6 Tm 3.56
Tm  0.9168  0.5833  0.7517  2 Tb 3.51-3.52, 1 Sm 3.52, 3 Pm 3.55, 6 Tm 3.56
Tm  0.0832  0.4167  0.2483  2 Tb 3.51-3.52, 1 Sm 3.52, 3 Pm 3.55, 6 Tm 3.56
Tm  0.4167  0.0832  0.2483  2 Tb 3.51-3.52, 1 Sm 3.52, 3 Pm 3.55, 6 Tm 3.56
Tm  0.5833  0.9168  0.7517  2 Tb 3.51-3.52, 1 Sm 3.52, 3 Pm 3.55, 6 Tm 3.56
Tm  0.7496  0.7496  0.2484  1 Sm 3.52, 2 Tb 3.52, 3 Pm 3.55, 6 Tm 3.56
Pm  0.8332  0.1668  0.5000  6 Tm 3.55, 6 Pm 3.56
Pm  0.1668  0.8332  0.5000  6 Tm 3.55, 6 Pm 3.56
Pm  0.5000  0.5000  0.5000  6 Tm 3.55, 6 Pm 3.56
Tb  0.6667  0.3333  0.0000  6 Tm 3.51-3.52, 3 Sm 3.56, 3 Tb 3.56
Tb  0.3333  0.6667  0.0000  6 Tm 3.51-3.52, 3 Sm 3.56, 3 Tb 3.56
Sm  0.0000  0.0000  0.0000  6 Tm 3.52, 6 Tb 3.56

---

Entry 2:
This record from the Alexandria database describes an optimized crystal structure of AlCdS2Cl. The functional is PBE-GGA.

* formation energy from raw total energies: -0.414 eV/atom
* spin magnetization: 0.0000 μB/atom
* space group: P4/mmm, No. 123
* final energy: -0.2474 Ry per atom
* energy above the most stable polymorph in this dataset: 0.000 eV/atom
* calculated volume: 102.8 Å³ per cell

Cell lengths 4.7182, 4.7182, 4.6168 Å; angles 90.00, 90.00, 90.00 degrees
With the nearest neighbours (Å) after each atom.
Sites, in units of the cell vectors:
Cl  0.0000  0.0000  0.5000  2 Al 2.31
Cd  0.5000  0.5000  0.5000  8 S 3.30, 4 Cl 3.34
S  0.5000  0.0000  0.0000  2 Al 2.36
S  0.0000  0.5000  0.0000  2 Al 2.36
Al  0.0000  0.0000  0.0000  2 Cl 2.31, 4 S 2.36

---

Entry 3:
This record from the Alexandria database describes an optimized crystal structure of TbSc2In2. The functional is PBE-GGA.

* energy relative to the elements: -19 kJ/mol of formula units
* spin magnetization: 0.0014 μB/atom
* space group: Cmmm, No. 65
* final energy: -0.3376 Ry per atom
* calculated volume: 135.4 Å³ per cell

Cell lengths 4.7786, 4.7786, 6.4544 Å; angles 89.99, 89.99, 113.26 degrees
With the nearest neighbours (Å) after each atom.
Sites, in units of the cell vectors:
In  0.4998  0.4998  0.2645  6 Sc 3.04-3.33, 1 In 3.04, 2 Tb 3.13
In  0.5002  0.5002  0.7355  6 Sc 3.04-3.33, 1 In 3.04, 2 Tb 3.13
Tb  0.0000  0.0000  0.0000  4 In 3.13, 4 Sc 3.50
Sc  0.1706  0.8294  0.5000  3 Sc 2.72-2.92, 2 In 3.04
Sc  0.8294  0.1706  0.5000  3 Sc 2.72-2.92, 2 In 3.04

---

Entry 4:
This record from the Alexandria database describes an optimized crystal structure of BaHg2Te. The functional is PBE-GGA.

* formation energy from raw total energies: -0.553 eV/atom
* spin magnetization: 0.0000 μB/atom
* space group: P4/mmm, No. 123
* final energy: -0.1448 Ry per atom
* calculated volume: 133.4 Å³ per cell

Cell lengths 4.3611, 4.3611, 7.0142 Å; angles 90.00, 90.00, 90.00 degrees
With the nearest neighbours (Å) after each atom.
Sites, in units of the cell vectors:
Hg  0.0000  0.0000  0.4743  1 Hg 3.15, 4 Te 3.46
Hg  0.0000  0.0000  0.0257  1 Hg 3.15, 4 Te 3.46
Te  0.5000  0.5000  0.2500  8 Hg 3.46, 2 Ba 3.51
Ba  0.5000  0.5000  0.7500  2 Te 3.51, 8 Hg 3.64